# Cs4P2PdSe8

A crystal of Cs4P2PdSe8 relaxed with PBEsol (SCAN, Alexandria).

Formation energy from raw total energies   -0.8875 eV per atom
SG   P2_1/c, No. 14
N(E_F)   0.00 states/eV/f.u.

a = 7.4327 Å, b = 10.0318 Å, c = 13.3476 Å
α = 90.00°, β = 90.00°, γ = 92.35°
With the nearest neighbours (Å) after each atom.
Fractional positions:
Se: 0.3094 0.8221 0.4249  1 P 2.27, 1 Pd 2.45
Se: 0.6906 0.6779 0.9249  1 P 2.27, 1 Pd 2.45
Se: 0.7626 0.9568 0.1104  1 P 2.17
Se: 0.0187 0.6610 0.1295  1 P 2.18
Se: 0.4783 0.3625 0.8497  1 P 2.26, 1 Pd 2.44
Se: 0.7626 0.4568 0.3896  1 P 2.17
Se: 0.5217 0.6375 0.1503  1 P 2.26, 1 Pd 2.44
Se: 0.9813 0.3390 0.8705  1 P 2.18
Se: 0.6906 0.1779 0.5751  1 P 2.27, 1 Pd 2.45
Se: 0.2374 0.0432 0.8896  1 P 2.17
Se: 0.0187 0.1610 0.3705  1 P 2.18
Se: 0.3094 0.3221 0.0751  1 P 2.27, 1 Pd 2.45
Se: 0.9813 0.8390 0.6295  1 P 2.18
Se: 0.2374 0.5432 0.6104  1 P 2.17
Se: 0.5217 0.1375 0.3497  1 P 2.26, 1 Pd 2.44
Se: 0.4783 0.8625 0.6503  1 P 2.26, 1 Pd 2.44
Cs: 0.1792 0.6758 0.8687  1 Pd 3.49, 7 Se 3.63-3.90
Cs: 0.8208 0.8242 0.3687  1 Pd 3.49, 7 Se 3.63-3.90
Cs: 0.7289 0.0328 0.8465  8 Se 3.55-3.92
Cs: 0.2711 0.9672 0.1535  8 Se 3.55-3.92
Cs: 0.2711 0.4672 0.3465  8 Se 3.55-3.92
Cs: 0.8208 0.3242 0.1313  1 Pd 3.49, 7 Se 3.63-3.90
Cs: 0.1792 0.1758 0.6313  1 Pd 3.49, 7 Se 3.63-3.90
Cs: 0.7289 0.5328 0.6535  8 Se 3.55-3.92
P: 0.2339 0.7559 0.5825  4 Se 2.17-2.27
P: 0.2339 0.2559 0.9175  4 Se 2.17-2.27
P: 0.7661 0.7441 0.0825  4 Se 2.17-2.27
P: 0.7661 0.2441 0.4175  4 Se 2.17-2.27
Pd: 0.5000 0.5000 0.0000  4 Se 2.44-2.45
Pd: 0.5000 0.0000 0.5000  4 Se 2.44-2.45

---

# CsPPt3

A crystal of CsPPt3 relaxed with PBEsol (SCAN, Alexandria).

SG   Pm-3m, No. 221
E_form   2684.0 meV per atom
N(E_F)   4.23 states/eV/f.u.

a = 5.0520 Å, b = 5.0520 Å, c = 5.0520 Å
α = 90.00°, β = 90.00°, γ = 90.00°
With the nearest neighbours (Å) after each atom.
Fractional positions:
Pt: 0.0000 0.0000 0.5000  2 Cs 2.53
Pt: 0.5000 0.0000 0.0000  2 Cs 2.53
Pt: 0.0000 0.5000 0.0000  2 Cs 2.53
Cs: 0.0000 0.0000 0.0000  6 Pt 2.53
P: 0.5000 0.5000 0.5000  12 Pt 3.57

---

# CsP2PtS

A crystal of CsP2PtS relaxed with PBEsol (SCAN, Alexandria).

Formation energy from raw total energies   0.2251 eV per atom
SG   P4/mmm, No. 123
N(E_F)   3.45 states/eV/f.u.

a = 4.6643 Å, b = 4.6643 Å, c = 5.3406 Å
α = 90.00°, β = 90.00°, γ = 90.00°
With the nearest neighbours (Å) after each atom.
Fractional positions:
Pt: 0.0000 0.0000 0.0000  4 P 2.33
S: 0.0000 0.0000 0.5000  2 Pt 2.67
Cs: 0.5000 0.5000 0.5000  4 S 3.30, 8 P 3.55
P: 0.0000 0.5000 0.0000  2 Pt 2.33
P: 0.5000 0.0000 0.0000  2 Pt 2.33

---

# CsSnPPt2

A crystal of CsSnPPt2 relaxed with PBEsol (SCAN, Alexandria).

SG   P4/mmm, No. 123
E_form   567.4 meV per atom
N(E_F)   3.91 states/eV/f.u.

a = 5.0899 Å, b = 5.0899 Å, c = 5.1208 Å
α = 90.00°, β = 90.00°, γ = 90.00°
With the nearest neighbours (Å) after each atom.
Fractional positions:
Pt: 0.0000 0.5000 0.0000  2 Sn 2.54
Pt: 0.5000 0.0000 0.0000  2 Sn 2.54
P: 0.0000 0.0000 0.5000  2 Sn 2.56
Sn: 0.0000 0.0000 0.0000  4 Pt 2.54, 2 P 2.56
Cs: 0.5000 0.5000 0.5000  4 P 3.60, 8 Pt 3.61

---

Question: Among the records above, which one has the lowest N(E_F)?
Answer: Cs4P2PdSe8

---

Question: Which formula does entry 1 have?
Answer: Cs4P2PdSe8